The following is a PBE calculation of YFe3 after structural relaxation, from Alexandria.

The structure belongs to space group Cmcm (No. 63); the cell edges are 6.067, 10.496 and 4.141 Å and the angles 90.00°, 90.00° and 90.00°. The asymmetric unit holds Y at (0.000, 0.166, 0.250), Fe at (0.000, 0.367, 0.750) and Fe at (0.200, 0.433, 0.250).

As for the calculated density: 6.46 g cm⁻³. The calculation puts the calculated formation energy at 0.5 eV/f.u. The final energy is -0.28761 hartree per atom. The calculation puts the total magnetic moment at 6.4 μB per formula unit.



The following is a PBE calculation of YFe after structural relaxation, from Alexandria.

The structure belongs to space group Fm-3m (No. 225); the cell edges are 5.666, 5.666 and 5.666 Å and the angles 90.00°, 90.00° and 90.00°. The asymmetric unit holds Y at (0.000, 0.000, 0.000) and Fe at (0.000, 0.000, 0.500).

As for the calculated density: 5.29 g cm⁻³. The calculation puts the calculated formation energy at 1.2 eV/f.u. The final energy is -0.25255 hartree per atom. The calculation puts the total magnetic moment at 1.7 μB per formula unit.



The following is a PBE calculation of Y3Fe4 after structural relaxation, from Alexandria.

The structure belongs to space group I4/mmm (No. 139); the cell edges are 3.274, 3.274 and 25.727 Å and the angles 90.00°, 90.00° and 90.00°. The asymmetric unit holds Y at (0.000, 0.000, 0.000), Y at (0.000, 0.000, 0.310), Fe at (0.000, 0.000, 0.116) and Fe at (0.000, 0.000, 0.423).

As for the calculated density: 5.90 g cm⁻³. The calculation puts the distance to the lowest polymorph of the same formula at 0 meV/atom. The calculation puts the calculated formation energy at 1.1 eV/f.u. The final energy is -0.27398 hartree per atom. The calculation puts the total magnetic moment at 9.9 μB per formula unit.